A crystal of LiFeP2O7 relaxed with PBEsol, computed with SCAN.

abc: 6.0530 6.8820 7.6212
angles: 72.18 81.07 65.71
Space group P-1 (No. 2)
One atom of each set of equivalent atoms:
Li  0.0000  0.0000  0.0000
Li  0.0000  0.0000  0.5000
Fe  0.3081  0.2454  0.2323
P  0.2420  0.2113  0.6841
P  0.2651  0.5689  0.7880
O  0.0201  0.7686  0.7731
O  0.0229  0.2198  0.8086
O  0.2164  0.1770  0.4997
O  0.2660  0.4467  0.6379
O  0.3019  0.4044  0.9766
O  0.4667  0.6531  0.7158
O  0.4859  0.0426  0.7730

Values from the calculation:
Fermi-level density of states, states/eV/f.u.: 0.0
Formation energy without anion corrections, eV/atom: -2.28
E above lowest polymorph, eV per formula unit: 0.833

=====

A crystal of LiFeP3O9 relaxed with PBEsol, computed with SCAN.

abc: 11.0713 6.6820 9.6511
angles: 90.00 90.15 90.00
Space group Cc (No. 9)
One atom of each set of equivalent atoms:
Li  0.0000  0.1421  0.0000
Fe  0.3207  0.0003  0.4683
P  0.0159  0.4045  0.7256
P  0.1783  0.2445  0.2195
P  0.2792  0.3437  0.7147
O  0.0561  0.3673  0.2443
O  0.1387  0.2914  0.6894
O  0.1659  0.1438  0.0806
O  0.1964  0.1148  0.3440
O  0.2788  0.4155  0.2174
O  0.3211  0.2692  0.8519
O  0.3447  0.2825  0.5848
O  0.4353  0.1190  0.1027
O  0.4687  0.1634  0.3635

Values from the calculation:
Formation energy without anion corrections, eV/atom: -2.28
E above lowest polymorph, eV per formula unit: 0.000

=====

A crystal of Li2FeP2O7 relaxed with PBEsol, computed with SCAN.

abc: 15.3440 5.0038 8.7937
angles: 90.00 115.52 90.00
Space group C2/c (No. 15)
One atom of each set of equivalent atoms:
Li  0.1893  0.1462  0.0518
Fe  0.0000  0.0000  0.0000
P  0.1031  0.3622  0.3173
O  0.0000  0.4829  0.7500
O  0.1004  0.1511  0.4427
O  0.1053  0.2257  0.1620
O  0.1797  0.4284  0.8943

Values from the calculation:
Formation energy without anion corrections, eV/atom: -2.37
E above lowest polymorph, eV per formula unit: 0.008

=====

A crystal of Li2FeP2O7 relaxed with PBEsol, computed with SCAN.

abc: 7.6197 7.6197 4.9502
angles: 90.00 90.00 90.00
Space group P-42_1m (No. 113)
One atom of each set of equivalent atoms:
Li  0.2164  0.2836  0.4584
Fe  0.0000  0.0000  0.0000
P  0.1430  0.6430  0.1040
O  0.0000  0.5000  0.1995
O  0.0809  0.8117  0.2486
O  0.1548  0.6548  0.8024

Values from the calculation:
Formation energy without anion corrections, eV/atom: -2.28
E above lowest polymorph, eV per formula unit: 1.046